(1)
# AgW (PBE, optimized geometry)
data_AgW
_chemical_formula_sum 'Ag4 W4'
_space_group_name_H-M_alt 'C m c m'
_space_group_IT_number 63
_space_group_name_Hall '-C 2c 2'
_cell_length_a 2.7166
_cell_length_b 11.1486
_cell_length_c 4.5226
_cell_angle_alpha 90.00
_cell_angle_beta 90.00
_cell_angle_gamma 90.00
loop_
_atom_site_label
_atom_site_type_symbol
_atom_site_fract_x
_atom_site_fract_y
_atom_site_fract_z
_atom_site_occupancy
Ag1 Ag 0.0000 0.1854 0.2500 1
W1 W 0.0000 0.4420 0.2500 1
# Energy of formation ... 0.7339 eV per atom
# E above lowest polymorph ... 391 meV per atom

(2)
# NaCdAu2 (PBE, optimized geometry)
data_NaCdAu2
_chemical_formula_sum 'Na1 Cd1 Au2'
_space_group_name_H-M_alt 'P 4/m m m'
_space_group_IT_number 123
_space_group_name_Hall '-P 4 2'
_cell_length_a 4.5645
_cell_length_b 4.5645
_cell_length_c 3.8141
_cell_angle_alpha 90.00
_cell_angle_beta 90.00
_cell_angle_gamma 90.00
loop_
_atom_site_label
_atom_site_type_symbol
_atom_site_fract_x
_atom_site_fract_y
_atom_site_fract_z
_atom_site_occupancy
Na1 Na 0.0000 0.0000 0.0000 1
Cd1 Cd 0.5000 0.5000 0.0000 1
Au1 Au 0.0000 0.5000 0.5000 1
# Energy of formation ... -0.2299 eV per atom

(3)
# InBr2Cl (PBE, optimized geometry)
data_InBr2Cl
_chemical_formula_sum 'In2 Br4 Cl2'
_space_group_name_H-M_alt 'C 1 2 1'
_space_group_IT_number 5
_cell_length_a 12.7430
_cell_length_b 6.2613
_cell_length_c 3.7918
_cell_angle_alpha 90.00
_cell_angle_beta 106.51
_cell_angle_gamma 90.00
loop_
_space_group_symop_operation_xyz
'x,y,z'
'-x,y,-z'
'x+1/2,y+1/2,z'
'-x+1/2,y+1/2,-z'
loop_
_atom_site_label
_atom_site_type_symbol
_atom_site_fract_x
_atom_site_fract_y
_atom_site_fract_z
_atom_site_occupancy
In1 In 0.0000 0.0000 0.0000 1
Br1 Br 0.1480 0.1089 0.6416 1
Cl1 Cl 0.0000 0.6232 0.0000 1
# E above lowest polymorph ... 70 meV per atom
# Raw formation energy ... -0.840 eV/atom

(4)
# Ba2Zn3InAg4 (PBE, optimized geometry)
data_Ba2Zn3InAg4
_chemical_formula_sum 'Ba2 Zn3 In1 Ag4'
_space_group_name_H-M_alt 'P -4 m 2'
_space_group_IT_number 115
_cell_length_a 4.7856
_cell_length_b 4.7856
_cell_length_c 10.9217
_cell_angle_alpha 90.00
_cell_angle_beta 90.00
_cell_angle_gamma 90.00
loop_
_space_group_symop_operation_xyz
'x,y,z'
'y,-x,-z'
'-x,-y,z'
'-y,x,-z'
'-x,y,z'
'-y,-x,-z'
'x,-y,z'
'y,x,-z'
loop_
_atom_site_label
_atom_site_type_symbol
_atom_site_fract_x
_atom_site_fract_y
_atom_site_fract_z
_atom_site_occupancy
Ba1 Ba 0.0000 0.5000 0.2427 1
Zn1 Zn 0.0000 0.5000 0.8834 1
Zn2 Zn 0.5000 0.5000 0.5000 1
In1 In 0.0000 0.0000 0.5000 1
Ag1 Ag 0.0000 0.0000 0.0000 1
Ag2 Ag 0.0000 0.5000 0.6373 1
Ag3 Ag 0.5000 0.5000 0.0000 1
# Energy of formation ... -0.2127 eV per atom

(5)
# BaZr2FeTe (PBE, optimized geometry)
data_BaZr2FeTe
_chemical_formula_sum 'Ba1 Zr2 Fe1 Te1'
_space_group_name_H-M_alt 'P 4/m m m'
_space_group_IT_number 123
_space_group_name_Hall '-P 4 2'
_cell_length_a 5.3217
_cell_length_b 5.3217
_cell_length_c 6.2646
_cell_angle_alpha 90.00
_cell_angle_beta 90.00
_cell_angle_gamma 90.00
loop_
_atom_site_label
_atom_site_type_symbol
_atom_site_fract_x
_atom_site_fract_y
_atom_site_fract_z
_atom_site_occupancy
Ba1 Ba 0.0000 0.0000 0.0000 1
Zr1 Zr 0.0000 0.5000 0.5000 1
Fe1 Fe 0.5000 0.5000 0.0000 1
Te1 Te 0.0000 0.0000 0.5000 1
# Raw formation energy ... 1.225 eV/atom

(6)
# HIr3Br (PBE, optimized geometry)
data_HIr3Br
_chemical_formula_sum 'H1 Ir3 Br1'
_space_group_name_H-M_alt 'P m -3 m'
_space_group_IT_number 221
_space_group_name_Hall '-P 4 2 3'
_cell_length_a 4.6284
_cell_length_b 4.6284
_cell_length_c 4.6284
_cell_angle_alpha 90.00
_cell_angle_beta 90.00
_cell_angle_gamma 90.00
loop_
_atom_site_label
_atom_site_type_symbol
_atom_site_fract_x
_atom_site_fract_y
_atom_site_fract_z
_atom_site_occupancy
H1 H 0.0000 0.0000 0.0000 1
Ir1 Ir 0.0000 0.5000 0.5000 1
Br1 Br 0.5000 0.5000 0.5000 1
# E above lowest polymorph ... 1493 meV per atom

The evaluated E_tot for the records listed, in turn: -14.34 -9.71 -11.29 -23.94 -24.50 -18.85 eV per formula unit.